! Cs3PmY2Te6, relaxed, DFT PBE-GGA; values from VASP
! Uncorrected formation energy = -32.4 kcal/mol of atoms
! Raw total energy = -4.662 eV/atom
! SG = No. 12
&SYSTEM
  ibrav = 0, nat = 12, ntyp = 4
/
ATOMIC_SPECIES
Cs 132.91 Cs.upf
Pm 145.00 Pm.upf
Y 88.91 Y.upf
Te 127.60 Te.upf
ATOMIC_POSITIONS crystal
Cs 0.000 0.000 0.000
Cs 0.335 0.665 0.000
Cs 0.665 0.335 0.000
Pm 0.500 0.500 0.500
Y 0.167 0.833 0.500
Y 0.833 0.167 0.500
Te 0.097 0.436 0.309
Te 0.225 0.225 0.691
Te 0.436 0.097 0.309
Te 0.564 0.903 0.691
Te 0.775 0.775 0.309
Te 0.903 0.564 0.691
CELL_PARAMETERS angstrom
3.974 -6.882 0.000
3.974 6.882 0.000
-2.652 0.000 8.926


! Cs3Pm2YTe6, relaxed, DFT PBE-GGA; values from VASP
! Uncorrected formation energy = -32.5 kcal/mol of atoms
! Raw total energy = -4.523 eV/atom
! SG = No. 12
&SYSTEM
  ibrav = 0, nat = 12, ntyp = 4
/
ATOMIC_SPECIES
Cs 132.91 Cs.upf
Pm 145.00 Pm.upf
Y 88.91 Y.upf
Te 127.60 Te.upf
ATOMIC_POSITIONS crystal
Cs 0.000 0.000 0.000
Cs 0.332 0.668 0.000
Cs 0.668 0.332 0.000
Pm 0.166 0.834 0.500
Pm 0.834 0.166 0.500
Y 0.500 0.500 0.500
Te 0.108 0.436 0.308
Te 0.236 0.236 0.693
Te 0.436 0.108 0.308
Te 0.564 0.892 0.692
Te 0.764 0.764 0.307
Te 0.892 0.564 0.692
CELL_PARAMETERS angstrom
4.001 -6.930 0.000
4.001 6.930 0.000
-2.668 0.000 8.936


! Cs4Pm3YTe8, relaxed, DFT PBE-GGA; values from VASP
! Uncorrected formation energy = -32.5 kcal/mol of atoms
! Raw total energy = -4.488 eV/atom
! SG = No. 166
&SYSTEM
  ibrav = 0, nat = 16, ntyp = 4
/
ATOMIC_SPECIES
Cs 132.91 Cs.upf
Pm 145.00 Pm.upf
Y 88.91 Y.upf
Te 127.60 Te.upf
ATOMIC_POSITIONS crystal
Cs 0.000 0.000 0.000
Cs 0.000 0.500 0.500
Cs 0.500 0.000 0.500
Cs 0.500 0.500 0.000
Pm 0.000 0.000 0.500
Pm 0.000 0.500 0.000
Pm 0.500 0.000 0.000
Y 0.500 0.500 0.500
Te 0.232 0.232 0.232
Te 0.236 0.728 0.728
Te 0.272 0.272 0.764
Te 0.272 0.764 0.272
Te 0.728 0.236 0.728
Te 0.728 0.728 0.236
Te 0.764 0.272 0.272
Te 0.768 0.768 0.768
CELL_PARAMETERS angstrom
4.627 2.672 8.938
-4.627 2.672 8.938
0.000 -5.343 8.938


! CsPmZnTe3, relaxed, DFT PBE-GGA; values from VASP
! Uncorrected formation energy = -25.2 kcal/mol of atoms
! Raw total energy = -3.810 eV/atom
! SG = No. 11
&SYSTEM
  ibrav = 0, nat = 12, ntyp = 4
/
ATOMIC_SPECIES
Cs 132.91 Cs.upf
Pm 145.00 Pm.upf
Zn 65.41 Zn.upf
Te 127.60 Te.upf
ATOMIC_POSITIONS crystal
Cs 0.217 0.250 0.247
Cs 0.783 0.750 0.753
Pm 0.327 0.750 0.862
Pm 0.673 0.250 0.138
Zn 0.084 0.250 0.611
Zn 0.916 0.750 0.389
Te 0.112 0.250 0.861
Te 0.193 0.750 0.540
Te 0.475 0.750 0.165
Te 0.525 0.250 0.835
Te 0.807 0.250 0.460
Te 0.888 0.750 0.139
CELL_PARAMETERS angstrom
10.432 0.000 0.000
0.000 4.512 0.000
-3.960 0.000 10.237


! Cs3Pm3ZrTe8, relaxed, DFT PBE-GGA; values from VASP
! Uncorrected formation energy = -29.8 kcal/mol of atoms
! Raw total energy = -4.658 eV/atom
! SG = No. 166
&SYSTEM
  ibrav = 0, nat = 15, ntyp = 4
/
ATOMIC_SPECIES
Cs 132.91 Cs.upf
Pm 145.00 Pm.upf
Zr 91.22 Zr.upf
Te 127.60 Te.upf
ATOMIC_POSITIONS crystal
Cs 0.000 0.500 0.500
Cs 0.500 0.000 0.500
Cs 0.500 0.500 0.000
Pm 0.000 0.000 0.500
Pm 0.000 0.500 0.000
Pm 0.500 0.000 0.000
Zr 0.500 0.500 0.500
Te 0.232 0.232 0.232
Te 0.248 0.719 0.719
Te 0.281 0.281 0.752
Te 0.281 0.752 0.281
Te 0.719 0.248 0.719
Te 0.719 0.719 0.248
Te 0.752 0.281 0.281
Te 0.768 0.768 0.768
CELL_PARAMETERS angstrom
4.504 2.600 9.160
-4.504 2.600 9.160
0.000 -5.201 9.160


! CsPm2Th, relaxed, DFT PBE-GGA; values from VASP
! DOS at the Fermi energy = 1.4899 states/eV per atom
! Raw total energy = -4.169 eV/atom
! Calculated formation energy = 275 meV per atom
! SG = No. 166
&SYSTEM
  ibrav = 0, nat = 12, ntyp = 3
/
ATOMIC_SPECIES
Cs 132.91 Cs.upf
Pm 145.00 Pm.upf
Th 232.04 Th.upf
ATOMIC_POSITIONS crystal
Cs 0.000 0.000 0.000
Cs 0.333 0.667 0.667
Cs 0.667 0.333 0.333
Pm 0.000 0.000 0.096
Pm 0.000 0.000 0.904
Pm 0.333 0.667 0.571
Pm 0.333 0.667 0.763
Pm 0.667 0.333 0.237
Pm 0.667 0.333 0.429
Th 0.000 0.000 0.500
Th 0.333 0.667 0.167
Th 0.667 0.333 0.833
CELL_PARAMETERS angstrom
3.702 0.000 0.000
-1.851 3.206 0.000
0.000 0.000 39.777


! CsPmTl, relaxed, DFT PBE-GGA; values from VASP
! DOS at the Fermi energy = 0.6761 states/eV per atom
! Raw total energy = -2.565 eV/atom
! Calculated formation energy = 92 meV per atom
! SG = No. 12
&SYSTEM
  ibrav = 0, nat = 12, ntyp = 3
/
ATOMIC_SPECIES
Cs 132.91 Cs.upf
Pm 145.00 Pm.upf
Tl 204.38 Tl.upf
ATOMIC_POSITIONS crystal
Cs 0.112 0.000 0.340
Cs 0.388 0.500 0.660
Cs 0.612 0.500 0.340
Cs 0.888 0.000 0.660
Pm 0.139 0.500 0.917
Pm 0.361 0.000 0.083
Pm 0.639 0.000 0.917
Pm 0.861 0.500 0.083
Tl 0.219 0.500 0.159
Tl 0.281 0.000 0.841
Tl 0.719 0.000 0.159
Tl 0.781 0.500 0.841
CELL_PARAMETERS angstrom
9.318 0.000 0.000
0.000 5.371 0.000
-3.094 0.000 12.895


! CsPm4Tl5, relaxed, DFT PBE-GGA; values from VASP
! DOS at the Fermi energy = 0.7585 states/eV per atom
! Raw total energy = -3.474 eV/atom
! Calculated formation energy = -306 meV per atom
! SG = No. 123
&SYSTEM
  ibrav = 0, nat = 10, ntyp = 3
/
ATOMIC_SPECIES
Cs 132.91 Cs.upf
Pm 145.00 Pm.upf
Tl 204.38 Tl.upf
ATOMIC_POSITIONS crystal
Cs 0.000 0.000 0.000
Pm 0.000 0.000 0.223
Pm 0.000 0.000 0.408
Pm 0.000 0.000 0.592
Pm 0.000 0.000 0.777
Tl 0.500 0.500 0.140
Tl 0.500 0.500 0.317
Tl 0.500 0.500 0.500
Tl 0.500 0.500 0.683
Tl 0.500 0.500 0.860
CELL_PARAMETERS angstrom
3.936 0.000 0.000
0.000 3.936 0.000
0.000 0.000 20.840


! CsPr3, relaxed, DFT PBE-GGA; values from VASP
! DOS at the Fermi energy = 1.4922 states/eV per atom
! Raw total energy = -3.268 eV/atom
! Calculated formation energy = 530 meV per atom
! SG = No. 139
&SYSTEM
  ibrav = 0, nat = 8, ntyp = 2
/
ATOMIC_SPECIES
Cs 132.91 Cs.upf
Pr 140.91 Pr.upf
ATOMIC_POSITIONS crystal
Cs 0.000 0.000 0.000
Cs 0.500 0.500 0.500
Pr 0.000 0.000 0.500
Pr 0.000 0.500 0.250
Pr 0.000 0.500 0.750
Pr 0.500 0.000 0.250
Pr 0.500 0.000 0.750
Pr 0.500 0.500 0.000
CELL_PARAMETERS angstrom
5.461 0.000 0.000
0.000 5.461 0.000
0.000 0.000 10.877


! CsPr4, relaxed, DFT PBE-GGA; values from VASP
! DOS at the Fermi energy = 1.6360 states/eV per atom
! Raw total energy = -3.064 eV/atom
! Calculated formation energy = 930 meV per atom
! SG = No. 221
&SYSTEM
  ibrav = 0, nat = 5, ntyp = 2
/
ATOMIC_SPECIES
Cs 132.91 Cs.upf
Pr 140.91 Pr.upf
ATOMIC_POSITIONS crystal
Cs 0.000 0.000 0.000
Pr 0.000 0.000 0.500
Pr 0.000 0.500 0.000
Pr 0.500 0.000 0.000
Pr 0.500 0.500 0.500
CELL_PARAMETERS angstrom
5.921 0.000 0.000
0.000 5.921 0.000
0.000 0.000 5.921


! CsPrPt4, relaxed, DFT PBE-GGA; values from VASP
! DOS at the Fermi energy = 0.2387 states/eV per atom
! Raw total energy = -5.443 eV/atom
! Calculated formation energy = -476 meV per atom
! SG = No. 216
&SYSTEM
  ibrav = 0, nat = 6, ntyp = 3
/
ATOMIC_SPECIES
Cs 132.91 Cs.upf
Pr 140.91 Pr.upf
Pt 195.08 Pt.upf
ATOMIC_POSITIONS crystal
Cs 0.000 0.000 0.000
Pr 0.750 0.750 0.750
Pt 0.375 0.375 0.375
Pt 0.375 0.375 0.874
Pt 0.375 0.874 0.375
Pt 0.874 0.375 0.375
CELL_PARAMETERS angstrom
0.000 3.973 3.973
3.973 0.000 3.973
3.973 3.973 0.000


! Cs3Pr2PuS6, relaxed, DFT PBE-GGA; values from VASP
! DOS at the Fermi energy = 1.0476 states/eV per atom
! Uncorrected formation energy = -39.2 kcal/mol of atoms
! Raw total energy = -5.967 eV/atom
! SG = No. 12
&SYSTEM
  ibrav = 0, nat = 12, ntyp = 4
/
ATOMIC_SPECIES
Cs 132.91 Cs.upf
Pr 140.91 Pr.upf
Pu 244.00 Pu.upf
S 32.06 S.upf
ATOMIC_POSITIONS crystal
Cs 0.000 0.000 0.000
Cs 0.332 0.668 0.000
Cs 0.668 0.332 0.000
Pr 0.167 0.833 0.500
Pr 0.833 0.167 0.500
Pu 0.500 0.500 0.500
S 0.112 0.438 0.315
S 0.235 0.235 0.686
S 0.438 0.112 0.315
S 0.562 0.888 0.685
S 0.765 0.765 0.314
S 0.888 0.562 0.685
CELL_PARAMETERS angstrom
3.688 -6.389 0.000
3.688 6.389 0.000
-2.460 0.000 8.073


! Cs3PrPu2S6, relaxed, DFT PBE-GGA; values from VASP
! DOS at the Fermi energy = 1.7272 states/eV per atom
! Uncorrected formation energy = -37.3 kcal/mol of atoms
! Raw total energy = -6.683 eV/atom
! SG = No. 12
&SYSTEM
  ibrav = 0, nat = 12, ntyp = 4
/
ATOMIC_SPECIES
Cs 132.91 Cs.upf
Pr 140.91 Pr.upf
Pu 244.00 Pu.upf
S 32.06 S.upf
ATOMIC_POSITIONS crystal
Cs 0.000 0.000 0.000
Cs 0.335 0.665 0.000
Cs 0.665 0.335 0.000
Pr 0.500 0.500 0.500
Pu 0.167 0.833 0.500
Pu 0.833 0.167 0.500
S 0.097 0.439 0.317
S 0.218 0.218 0.682
S 0.439 0.097 0.317
S 0.561 0.903 0.683
S 0.782 0.782 0.318
S 0.903 0.561 0.683
CELL_PARAMETERS angstrom
3.645 -6.312 0.000
3.645 6.312 0.000
-2.431 0.000 8.061


! Cs2PrPuSe4, relaxed, DFT PBE-GGA; values from VASP
! DOS at the Fermi energy = 1.5588 states/eV per atom
! Uncorrected formation energy = -36.2 kcal/mol of atoms
! Raw total energy = -5.914 eV/atom
! SG = No. 10
&SYSTEM
  ibrav = 0, nat = 8, ntyp = 4
/
ATOMIC_SPECIES
Cs 132.91 Cs.upf
Pr 140.91 Pr.upf
Pu 244.00 Pu.upf
Se 78.96 Se.upf
ATOMIC_POSITIONS crystal
Cs 0.000 0.000 0.000
Cs 0.500 0.500 0.000
Pr 0.000 0.500 0.500
Pu 0.500 0.000 0.500
Se 0.235 0.000 0.691
Se 0.278 0.500 0.315
Se 0.722 0.500 0.685
Se 0.765 0.000 0.309
CELL_PARAMETERS angstrom
7.627 0.000 0.000
0.000 4.395 0.000
-2.541 0.000 8.372


! Cs4Pr3PuSe8, relaxed, DFT PBE-GGA; values from VASP
! DOS at the Fermi energy = 0.8233 states/eV per atom
! Uncorrected formation energy = -37.9 kcal/mol of atoms
! Raw total energy = -5.392 eV/atom
! SG = No. 166
&SYSTEM
  ibrav = 0, nat = 16, ntyp = 4
/
ATOMIC_SPECIES
Cs 132.91 Cs.upf
Pr 140.91 Pr.upf
Pu 244.00 Pu.upf
Se 78.96 Se.upf
ATOMIC_POSITIONS crystal
Cs 0.000 0.000 0.000
Cs 0.000 0.500 0.500
Cs 0.500 0.000 0.500
Cs 0.500 0.500 0.000
Pr 0.000 0.000 0.500
Pr 0.000 0.500 0.000
Pr 0.500 0.000 0.000
Pu 0.500 0.500 0.500
Se 0.231 0.231 0.231
Se 0.235 0.727 0.727
Se 0.273 0.273 0.765
Se 0.273 0.765 0.273
Se 0.727 0.235 0.727
Se 0.727 0.727 0.235
Se 0.765 0.273 0.273
Se 0.769 0.769 0.769
CELL_PARAMETERS angstrom
4.424 2.554 8.390
-4.424 2.554 8.390
0.000 -5.108 8.390


! Cs3Pr3PuSe8, relaxed, DFT PBE-GGA; values from VASP
! DOS at the Fermi energy = 0.8288 states/eV per atom
! Uncorrected formation energy = -37.6 kcal/mol of atoms
! Raw total energy = -5.569 eV/atom
! SG = No. 166
&SYSTEM
  ibrav = 0, nat = 15, ntyp = 4
/
ATOMIC_SPECIES
Cs 132.91 Cs.upf
Pr 140.91 Pr.upf
Pu 244.00 Pu.upf
Se 78.96 Se.upf
ATOMIC_POSITIONS crystal
Cs 0.000 0.500 0.500
Cs 0.500 0.000 0.500
Cs 0.500 0.500 0.000
Pr 0.000 0.000 0.500
Pr 0.000 0.500 0.000
Pr 0.500 0.000 0.000
Pu 0.500 0.500 0.500
Se 0.230 0.230 0.230
Se 0.242 0.720 0.720
Se 0.280 0.280 0.758
Se 0.280 0.758 0.280
Se 0.720 0.242 0.720
Se 0.720 0.720 0.242
Se 0.758 0.280 0.280
Se 0.770 0.770 0.770
CELL_PARAMETERS angstrom
4.362 2.519 8.547
-4.362 2.519 8.547
0.000 -5.037 8.547


! Cs3PrPu2Se6, relaxed, DFT PBE-GGA; values from VASP
! DOS at the Fermi energy = 1.9688 states/eV per atom
! Uncorrected formation energy = -35.2 kcal/mol of atoms
! Raw total energy = -6.267 eV/atom
! SG = No. 12
&SYSTEM
  ibrav = 0, nat = 12, ntyp = 4
/
ATOMIC_SPECIES
Cs 132.91 Cs.upf
Pr 140.91 Pr.upf
Pu 244.00 Pu.upf
Se 78.96 Se.upf
ATOMIC_POSITIONS crystal
Cs 0.000 0.000 0.000
Cs 0.335 0.665 0.000
Cs 0.665 0.335 0.000
Pr 0.500 0.500 0.500
Pu 0.167 0.833 0.500
Pu 0.833 0.167 0.500
Se 0.097 0.438 0.313
Se 0.221 0.221 0.686
Se 0.438 0.097 0.313
Se 0.562 0.903 0.687
Se 0.779 0.779 0.314
Se 0.903 0.562 0.687
CELL_PARAMETERS angstrom
3.789 -6.563 0.000
3.789 6.563 0.000
-2.526 0.000 8.369


! Cs2Pr2PuSe6, relaxed, DFT PBE-GGA; values from VASP
! DOS at the Fermi energy = 0.8582 states/eV per atom
! Uncorrected formation energy = -36.8 kcal/mol of atoms
! Raw total energy = -5.821 eV/atom
! SG = No. 12
&SYSTEM
  ibrav = 0, nat = 11, ntyp = 4
/
ATOMIC_SPECIES
Cs 132.91 Cs.upf
Pr 140.91 Pr.upf
Pu 244.00 Pu.upf
Se 78.96 Se.upf
ATOMIC_POSITIONS crystal
Cs 0.170 0.830 0.000
Cs 0.830 0.170 0.000
Pr 0.334 0.666 0.500
Pr 0.666 0.334 0.500
Pu 0.000 0.000 0.500
Se 0.063 0.382 0.685
Se 0.253 0.253 0.316
Se 0.382 0.063 0.685
Se 0.618 0.937 0.315
Se 0.747 0.747 0.684
Se 0.937 0.618 0.315
CELL_PARAMETERS angstrom
3.752 -6.462 0.000
3.752 6.462 0.000
-2.572 0.000 8.574


! Cs3Pr2PuTe6, relaxed, DFT PBE-GGA; values from VASP
! DOS at the Fermi energy = 1.1950 states/eV per atom
! Uncorrected formation energy = -30.1 kcal/mol of atoms
! Raw total energy = -5.078 eV/atom
! SG = No. 12
&SYSTEM
  ibrav = 0, nat = 12, ntyp = 4
/
ATOMIC_SPECIES
Cs 132.91 Cs.upf
Pr 140.91 Pr.upf
Pu 244.00 Pu.upf
Te 127.60 Te.upf
ATOMIC_POSITIONS crystal
Cs 0.000 0.000 0.000
Cs 0.332 0.668 0.000
Cs 0.668 0.332 0.000
Pr 0.166 0.834 0.500
Pr 0.834 0.166 0.500
Pu 0.500 0.500 0.500
Te 0.107 0.436 0.307
Te 0.236 0.236 0.694
Te 0.436 0.107 0.307
Te 0.564 0.893 0.693
Te 0.764 0.764 0.306
Te 0.893 0.564 0.693
CELL_PARAMETERS angstrom
4.067 -7.044 0.000
4.067 7.044 0.000
-2.713 0.000 8.921


! Cs2RbPr, relaxed, DFT PBE-GGA; values from VASP
! DOS at the Fermi energy = 1.1282 states/eV per atom
! Raw total energy = -1.395 eV/atom
! Calculated formation energy = 469 meV per atom
! SG = No. 166
&SYSTEM
  ibrav = 0, nat = 12, ntyp = 3
/
ATOMIC_SPECIES
Cs 132.91 Cs.upf
Rb 85.47 Rb.upf
Pr 140.91 Pr.upf
ATOMIC_POSITIONS crystal
Cs 0.000 0.000 0.077
Cs 0.000 0.000 0.923
Cs 0.333 0.667 0.590
Cs 0.333 0.667 0.743
Cs 0.667 0.333 0.257
Cs 0.667 0.333 0.410
Rb 0.000 0.000 0.500
Rb 0.333 0.667 0.167
Rb 0.667 0.333 0.833
Pr 0.000 0.000 0.000
Pr 0.333 0.667 0.667
Pr 0.667 0.333 0.333
CELL_PARAMETERS angstrom
4.235 0.000 0.000
-2.117 3.667 0.000
0.000 0.000 50.710